A relaxed structure of PmPr2Au, computed with GGA-PBE.

Results
Size of the total moment   0.0 μB/cell
E   -4.63 eV per atom
Space-group type   P4/mmm
Distance to the lowest polymorph of the same formula   0.167 eV per atom

a = 5.595 Å, b = 5.595 Å, c = 3.742 Å
α = 90.00°, β = 90.00°, γ = 90.00°
Element x y z (fractional)
1 Pm 0.000 0.000 0.000
2 Pr 0.000 0.500 0.500
3 Pr 0.500 0.000 0.500
4 Au 0.500 0.500 0.000

---

A relaxed structure of Pm2PrAu, computed with GGA-PBE.

Results
Size of the total moment   0.0 μB/cell
E   -4.79 eV per atom
Space-group type   Pnma
Distance to the lowest polymorph of the same formula   0.007 eV per atom

a = 7.172 Å, b = 10.277 Å, c = 6.770 Å
α = 90.00°, β = 90.00°, γ = 90.00°
Element x y z (fractional)
1 Pm 0.191 0.053 0.175
2 Pm 0.191 0.447 0.175
3 Pm 0.309 0.553 0.675
4 Pm 0.309 0.947 0.675
5 Pm 0.691 0.053 0.325
6 Pm 0.691 0.447 0.325
7 Pm 0.809 0.553 0.825
8 Pm 0.809 0.947 0.825
9 Pr 0.010 0.250 0.633
10 Pr 0.490 0.750 0.133
11 Pr 0.510 0.250 0.867
12 Pr 0.990 0.750 0.367
13 Au 0.105 0.750 0.928
14 Au 0.395 0.250 0.428
15 Au 0.605 0.750 0.572
16 Au 0.895 0.250 0.072

---

A relaxed structure of Pm3Pr4Au4, computed with GGA-PBE.

Results
Size of the total moment   0.0 μB/cell
E   -4.73 eV per atom
Space-group type   Immm

a = 10.200 Å, b = 10.200 Å, c = 10.200 Å
α = 158.03°, β = 125.21°, γ = 59.74°
Element x y z (fractional)
1 Pm 0.000 0.000 0.000
2 Pm 0.397 0.897 0.500
3 Pm 0.603 0.103 0.500
4 Pr 0.026 0.339 0.688
5 Pr 0.349 0.661 0.688
6 Pr 0.651 0.339 0.312
7 Pr 0.974 0.661 0.312
8 Au 0.257 0.257 0.000
9 Au 0.319 0.500 0.819
10 Au 0.681 0.500 0.181
11 Au 0.743 0.743 0.000

---

A relaxed structure of PmPrAu4, computed with GGA-PBE.

Results
Size of the total moment   0.0 μB/cell
E   -4.55 eV per atom
Space-group type   P-1
Distance to the lowest polymorph of the same formula   0.000 eV per atom

a = 3.851 Å, b = 5.382 Å, c = 7.684 Å
α = 70.39°, β = 75.62°, γ = 69.35°
Element x y z (fractional)
1 Pm 0.000 0.000 0.000
2 Pr 0.000 0.500 0.500
3 Au 0.335 0.495 0.838
4 Au 0.338 0.001 0.328
5 Au 0.662 0.999 0.672
6 Au 0.665 0.505 0.162